! K2ZrSi, relaxed, DFT PBE; values from VASP
! M_tot ... 0.268 μB per atom
! ΔE_f (raw) ... 0.593 eV per atom
! Crystal system ... orthorhombic
&SYSTEM
  ibrav = 0, nat = 4, ntyp = 3
/
ATOMIC_SPECIES
K 39.10 K.upf
Si 28.09 Si.upf
Zr 91.22 Zr.upf
ATOMIC_POSITIONS angstrom
K 0.0000 0.0000 0.0000
K -1.3510 -1.1816 2.3798
Si 0.2240 -3.4775 0.2673
Zr -2.1922 -3.7504 -1.2346
CELL_PARAMETERS angstrom
-0.6173 -6.0463 -3.3471
1.0653 -0.9087 3.8817
-3.7672 -1.4544 0.8780